First-principles (SCAN) data for a PBEsol-optimized structure of Rb4Al2S5, as listed in Alexandria via LeMat-Bulk.

Cell: 9.5701 11.4237 11.4673 Å, 90.00 90.00 90.00°
Positions (direct):
S 0.1441 0.2088 0.3897
S 0.0708 0.3988 0.1182
S 0.1441 0.7088 0.1103
S 0.0508 0.5895 0.3770
S 0.2782 0.2388 0.7873
S 0.7782 0.2612 0.2873
S 0.5508 0.4105 0.6230
S 0.5708 0.6012 0.8818
S 0.5708 0.1012 0.6182
S 0.9072 0.4916 0.7450
S 0.4072 0.5084 0.2550
S 0.2782 0.7388 0.7127
S 0.6441 0.2912 0.8897
S 0.9072 0.9916 0.7550
S 0.0508 0.0895 0.1230
S 0.5508 0.9105 0.8770
S 0.6441 0.7912 0.6103
S 0.0708 0.8988 0.3818
S 0.7782 0.7612 0.2127
S 0.4072 0.0084 0.2450
Rb 0.9747 0.7440 0.6114
Rb 0.9747 0.2440 0.8886
Rb 0.2325 0.0214 0.6092
Rb 0.4747 0.7560 0.1114
Rb 0.8637 0.7456 0.9268
Rb 0.7325 0.9786 0.3908
Rb 0.2143 0.4458 0.5775
Rb 0.3637 0.7544 0.4268
Rb 0.2143 0.9458 0.9225
Rb 0.3637 0.2544 0.0732
Rb 0.8637 0.2456 0.5732
Rb 0.7143 0.0542 0.0775
Rb 0.7325 0.4786 0.1092
Rb 0.2325 0.5214 0.8908
Rb 0.7143 0.5542 0.4225
Rb 0.4747 0.2560 0.3886
Al 0.1834 0.0406 0.2798
Al 0.9999 0.7499 0.2626
Al 0.6834 0.9594 0.7202
Al 0.4999 0.2501 0.7374
Al 0.9999 0.2499 0.2374
Al 0.4999 0.7501 0.7626
Al 0.6834 0.4594 0.7798
Al 0.1834 0.5406 0.2202

Output
Crystal system ... orthorhombic
Electronic total energy ... -652.35 eV for the cell shown
DOS at the Fermi energy ... 0.0 states/eV/cell